Record 1
! CaTi4O9 (meta-GGA SCAN, single point on PBEsol structure); values from VASP
&SYSTEM
  ibrav = 0, nat = 28, ntyp = 3
/
ATOMIC_SPECIES
Ca 40.08 Ca.upf
Ti 47.87 Ti.upf
O 16.00 O.upf
CELL_PARAMETERS angstrom
8.401 0.000 0.000
0.000 8.401 0.000
0.000 0.000 4.708
ATOMIC_POSITIONS angstrom
Ca 2.100 2.100 0.824
Ca 6.301 6.301 3.884
Ti 0.337 5.510 1.644
Ti 1.310 8.064 3.064
Ti 2.891 4.538 3.064
Ti 3.863 7.091 1.644
Ti 4.538 1.310 3.064
Ti 5.510 3.863 1.644
Ti 7.091 0.337 1.644
Ti 8.064 2.891 3.064
O 0.041 5.683 4.705
O 0.367 1.223 2.365
O 1.223 3.834 2.365
O 1.482 8.360 0.003
O 2.100 6.301 2.354
O 2.718 4.241 0.003
O 2.977 0.367 2.365
O 3.834 2.977 2.365
O 4.160 6.919 4.705
O 4.241 1.482 0.003
O 4.567 5.424 2.342
O 5.424 8.034 2.342
O 5.683 4.160 4.705
O 6.301 2.100 2.354
O 6.919 0.041 4.705
O 7.178 4.567 2.342
O 8.034 7.178 2.342
O 8.360 2.718 0.003
! formation energy (no corrections): -75.1 kcal/mol of atoms
! E: -175.43 eV/f.u.



Record 2
! CaTi3O7 (meta-GGA SCAN, single point on PBEsol structure); values from VASP
&SYSTEM
  ibrav = 0, nat = 44, ntyp = 3
/
ATOMIC_SPECIES
Ca 40.08 Ca.upf
Ti 47.87 Ti.upf
O 16.00 O.upf
CELL_PARAMETERS angstrom
10.316 0.000 0.000
0.000 10.525 0.000
0.000 0.000 5.366
ATOMIC_POSITIONS angstrom
Ca 0.798 2.631 1.011
Ca 4.360 7.893 3.694
Ca 5.955 2.631 1.672
Ca 9.518 7.893 4.355
Ti 1.927 5.488 3.824
Ti 1.927 10.299 3.824
Ti 2.144 7.893 1.093
Ti 3.014 2.631 3.776
Ti 3.231 0.226 1.140
Ti 3.231 5.037 1.140
Ti 7.085 5.488 4.226
Ti 7.085 10.299 4.226
Ti 7.302 7.893 1.590
Ti 8.172 2.631 4.273
Ti 8.389 0.226 1.543
Ti 8.389 5.037 1.543
O 0.329 5.983 3.929
O 0.329 9.804 3.929
O 0.463 7.893 0.995
O 2.328 1.273 2.522
O 2.328 3.990 2.522
O 2.387 1.271 5.088
O 2.387 3.992 5.088
O 2.771 6.533 2.405
O 2.771 9.254 2.405
O 2.830 6.535 5.205
O 2.830 9.252 5.205
O 4.695 2.631 3.678
O 4.828 0.720 1.246
O 4.828 4.542 1.246
O 5.487 5.983 4.120
O 5.487 9.804 4.120
O 5.620 7.893 1.688
O 7.486 1.273 0.161
O 7.486 3.990 0.161
O 7.544 1.271 2.962
O 7.544 3.992 2.962
O 7.929 6.533 0.278
O 7.929 9.254 0.278
O 7.987 6.535 2.844
O 7.987 9.252 2.844
O 9.853 2.631 4.371
O 9.986 0.720 1.437
O 9.986 4.542 1.437
! formation energy (no corrections): -75.9 kcal/mol of atoms
! E: -137.56 eV/f.u.



Record 3
! CaTi2O5 (meta-GGA SCAN, single point on PBEsol structure); values from VASP
&SYSTEM
  ibrav = 0, nat = 16, ntyp = 3
/
ATOMIC_SPECIES
Ca 40.08 Ca.upf
Ti 47.87 Ti.upf
O 16.00 O.upf
CELL_PARAMETERS angstrom
3.595 0.000 0.000
0.000 11.576 0.000
0.000 0.000 4.891
ATOMIC_POSITIONS angstrom
Ca 0.899 2.894 0.677
Ca 2.696 8.682 4.214
Ti 0.899 6.923 1.923
Ti 0.899 10.441 1.923
Ti 2.696 1.135 2.968
Ti 2.696 4.653 2.968
O 0.899 0.878 2.282
O 0.899 4.910 2.282
O 0.899 7.268 0.241
O 0.899 8.682 2.636
O 0.899 10.096 0.241
O 2.696 1.480 4.651
O 2.696 2.894 2.255
O 2.696 4.308 4.651
O 2.696 6.665 2.609
O 2.696 10.698 2.609
! formation energy (no corrections): -78.1 kcal/mol of atoms
! relative energy among the computed polymorphs: 0 meV per atom
! E: -99.97 eV/f.u.



Record 4
! CaTi4O6 (meta-GGA SCAN, single point on PBEsol structure); values from VASP
&SYSTEM
  ibrav = 0, nat = 22, ntyp = 3
/
ATOMIC_SPECIES
Ca 40.08 Ca.upf
Ti 47.87 Ti.upf
O 16.00 O.upf
CELL_PARAMETERS angstrom
1.497 -4.937 0.000
1.497 4.937 0.000
0.000 0.000 14.948
ATOMIC_POSITIONS angstrom
Ca 1.497 3.403 11.211
Ca 1.497 -3.403 3.737
Ti 1.497 3.943 1.894
Ti 1.497 3.943 5.580
Ti 1.497 1.457 0.579
Ti 1.497 1.457 6.895
Ti 1.497 -1.457 8.054
Ti 1.497 -1.457 14.369
Ti 1.497 -3.943 9.369
Ti 1.497 -3.943 13.054
O 0.000 0.000 0.000
O 0.000 0.000 7.474
O 1.497 3.308 3.737
O 1.497 2.350 8.900
O 1.497 2.350 13.523
O 1.497 0.366 2.311
O 1.497 0.366 5.163
O 1.497 -0.366 9.786
O 1.497 -0.366 12.637
O 1.497 -2.350 1.425
O 1.497 -2.350 6.049
O 1.497 -3.308 11.211
! formation energy (no corrections): -69.7 kcal/mol of atoms
! E: -144.41 eV/f.u.



Record 5
! CaTi3O (meta-GGA SCAN, single point on PBEsol structure); values from VASP
&SYSTEM
  ibrav = 0, nat = 5, ntyp = 3
/
ATOMIC_SPECIES
Ca 40.08 Ca.upf
Ti 47.87 Ti.upf
O 16.00 O.upf
CELL_PARAMETERS angstrom
4.284 0.000 0.000
0.000 4.284 0.000
0.000 0.000 4.284
ATOMIC_POSITIONS angstrom
Ca 0.000 0.000 0.000
Ti 0.000 2.142 2.142
Ti 2.142 0.000 2.142
Ti 2.142 2.142 0.000
O 2.142 2.142 2.142
! formation energy (no corrections): -15.2 kcal/mol of atoms
! E: -67.27 eV/f.u.



Record 6
! CaTi2O5 (meta-GGA SCAN, single point on PBEsol structure); values from VASP
&SYSTEM
  ibrav = 0, nat = 16, ntyp = 3
/
ATOMIC_SPECIES
Ca 40.08 Ca.upf
Ti 47.87 Ti.upf
O 16.00 O.upf
CELL_PARAMETERS angstrom
1.883 -5.497 0.000
1.883 5.497 0.000
0.000 0.000 11.387
ATOMIC_POSITIONS angstrom
Ca 1.883 4.448 8.540
Ca 1.883 -4.448 2.847
Ti 1.883 3.226 1.106
Ti 1.883 3.226 4.587
Ti 1.883 -3.226 6.799
Ti 1.883 -3.226 10.281
O 1.883 4.887 1.366
O 1.883 4.887 4.328
O 1.883 2.879 6.560
O 1.883 2.879 10.520
O 1.883 2.332 2.847
O 1.883 -2.332 8.540
O 1.883 -2.879 0.867
O 1.883 -2.879 4.826
O 1.883 -4.887 7.059
O 1.883 -4.887 10.021
! formation energy (no corrections): -76.0 kcal/mol of atoms
! relative energy among the computed polymorphs: 89 meV per atom
! E: -99.26 eV/f.u.



Record 7
! Ca3YTi4O12 (meta-GGA SCAN, single point on PBEsol structure); values from VASP
&SYSTEM
  ibrav = 0, nat = 20, ntyp = 4
/
ATOMIC_SPECIES
Ca 40.08 Ca.upf
Y 88.91 Y.upf
Ti 47.87 Ti.upf
O 16.00 O.upf
CELL_PARAMETERS angstrom
5.325 0.000 0.000
0.000 7.614 0.000
-0.016 0.000 5.478
ATOMIC_POSITIONS angstrom
Ca 0.000 0.000 0.000
Ca 0.119 3.807 0.547
Ca 2.762 0.000 2.760
Y 2.648 3.807 3.349
Ti 0.038 1.893 3.006
Ti 0.038 5.721 3.006
Ti 2.733 1.892 0.292
Ti 2.733 5.722 0.292
O 0.468 0.000 3.135
O 1.169 2.280 4.587
O 1.169 5.334 4.587
O 1.663 2.286 1.916
O 1.663 5.328 1.916
O 2.280 0.000 0.402
O 3.167 3.807 0.124
O 3.785 1.619 4.127
O 3.785 5.995 4.127
O 4.309 1.578 1.391
O 4.309 6.036 1.391
O 4.862 3.807 2.882
! formation energy (no corrections): -80.9 kcal/mol of atoms
! E: -265.86 eV/f.u.



Record 8
! CaTi8Zn2O19 (meta-GGA SCAN, single point on PBEsol structure); values from VASP
&SYSTEM
  ibrav = 0, nat = 60, ntyp = 4
/
ATOMIC_SPECIES
Ca 40.08 Ca.upf
Ti 47.87 Ti.upf
Zn 65.41 Zn.upf
O 16.00 O.upf
CELL_PARAMETERS angstrom
9.193 0.000 0.000
3.385 8.560 0.000
3.376 2.311 8.246
ATOMIC_POSITIONS angstrom
Ca 0.000 0.000 0.000
Ca 7.632 5.390 3.974
Ti 4.569 8.324 3.521
Ti 6.564 7.204 8.040
Ti 4.265 4.996 3.040
Ti 5.649 4.797 6.444
Ti 6.978 8.386 5.376
Ti 6.494 7.202 1.577
Ti 6.842 2.186 7.079
Ti 6.210 3.500 1.212
Ti 9.114 8.675 1.177
Ti 10.354 8.486 4.289
Ti 9.406 3.718 6.534
Ti 9.004 2.482 2.901
Ti 10.279 6.079 1.846
Ti 11.648 5.897 5.252
Ti 9.413 3.672 0.249
Ti 11.442 2.513 4.807
Zn 3.037 2.108 1.605
Zn 5.557 2.462 4.040
Zn 9.707 7.378 7.003
Zn 12.903 8.810 6.705
O 1.733 1.797 3.030
O 3.941 6.619 4.034
O 3.003 5.438 1.695
O 2.266 3.154 0.144
O 4.773 7.942 1.719
O 6.887 8.821 7.228
O 3.894 1.670 4.836
O 5.227 3.097 7.133
O 6.409 6.590 6.151
O 6.463 7.702 3.600
O 5.498 4.444 4.625
O 4.547 3.183 2.357
O 5.955 5.424 2.202
O 8.303 6.617 8.240
O 3.769 0.410 0.963
O 9.794 9.132 7.983
O 7.487 4.060 6.488
O 8.738 7.841 5.266
O 6.780 1.539 5.365
O 9.300 9.238 2.935
O 7.240 3.166 2.840
O 8.445 6.828 1.819
O 6.140 1.824 0.359
O 12.186 10.512 7.359
O 7.621 4.212 0.215
O 10.017 5.438 6.054
O 11.451 7.754 5.831
O 9.420 3.138 4.711
O 10.524 6.640 3.657
O 9.598 4.294 2.170
O 10.709 7.769 1.081
O 12.009 9.203 3.486
O 9.105 2.039 1.073
O 11.154 2.972 6.571
O 13.648 7.738 8.166
O 12.918 5.480 6.614
O 14.203 9.107 5.271
O 12.022 4.278 4.240
! formation energy (no corrections): -71.8 kcal/mol of atoms
! E: -376.78 eV/f.u.



Record 9
! CaZrTi2O7 (meta-GGA SCAN, single point on PBEsol structure); values from VASP
&SYSTEM
  ibrav = 0, nat = 44, ntyp = 4
/
ATOMIC_SPECIES
Ca 40.08 Ca.upf
Zr 91.22 Zr.upf
Ti 47.87 Ti.upf
O 16.00 O.upf
CELL_PARAMETERS angstrom
7.191 0.000 0.000
3.545 6.280 0.000
1.803 1.007 11.137
ATOMIC_POSITIONS angstrom
Ca 1.792 2.089 5.458
Ca 7.158 7.286 11.132
Ca 5.381 0.002 0.006
Ca 10.747 5.198 5.679
Zr 5.357 4.104 10.852
Zr 5.345 2.094 5.261
Zr 7.194 5.194 5.876
Zr 7.181 3.183 0.285
Ti 5.420 6.902 8.388
Ti 3.590 3.121 8.298
Ti 3.509 1.074 2.757
Ti 5.370 4.204 2.799
Ti 7.169 3.083 8.338
Ti 9.030 6.213 8.381
Ti 8.949 4.166 2.839
Ti 7.119 0.385 2.750
O 3.289 3.318 10.220
O 3.557 4.819 3.191
O 2.277 2.406 3.144
O 5.349 6.103 10.048
O 5.428 6.214 6.715
O 3.871 2.943 6.350
O 5.500 6.165 2.470
O 3.749 1.131 8.666
O 5.378 3.475 8.813
O 5.061 3.965 0.910
O 5.700 4.337 4.687
O 3.589 1.346 0.816
O 3.632 0.632 4.634
O 4.904 2.395 3.228
O 7.634 4.892 7.909
O 8.907 6.656 6.503
O 8.949 5.942 10.321
O 6.839 2.950 6.450
O 7.477 3.323 10.227
O 7.161 3.813 2.324
O 8.790 6.157 2.471
O 7.039 1.122 8.667
O 8.668 4.344 4.787
O 7.111 1.074 4.422
O 7.189 1.184 1.089
O 10.261 4.881 7.993
O 8.982 2.468 7.946
O 9.249 3.969 0.917
! formation energy (no corrections): -81.3 kcal/mol of atoms
! E: -154.80 eV/f.u.



Record 10
! Ca2Tl2O5 (meta-GGA SCAN, single point on PBEsol structure); values from VASP
&SYSTEM
  ibrav = 0, nat = 18, ntyp = 3
/
ATOMIC_SPECIES
Ca 40.08 Ca.upf
Tl 204.38 Tl.upf
O 16.00 O.upf
CELL_PARAMETERS angstrom
1.676 -5.600 0.000
1.676 5.600 0.000
0.000 0.000 13.412
ATOMIC_POSITIONS angstrom
Ca 1.676 5.271 6.706
Ca 1.676 3.177 11.426
Ca 1.676 -3.177 4.720
Ca 1.676 -5.271 0.000
Tl 1.676 2.927 1.682
Tl 1.676 0.131 9.975
Tl 1.676 -0.131 3.269
Tl 1.676 -2.927 8.388
O 1.676 4.204 9.182
O 1.676 3.796 3.726
O 1.676 1.900 13.265
O 1.676 1.020 8.000
O 1.676 0.809 5.178
O 1.676 -0.809 11.884
O 1.676 -1.020 1.294
O 1.676 -1.900 6.559
O 1.676 -3.796 10.432
O 1.676 -4.204 2.476
! formation energy (no corrections): -43.0 kcal/mol of atoms
! E: -212.00 eV/f.u.



Record 11
! CaTl2O4 (meta-GGA SCAN, single point on PBEsol structure); values from VASP
&SYSTEM
  ibrav = 0, nat = 14, ntyp = 3
/
ATOMIC_SPECIES
Ca 40.08 Ca.upf
Tl 204.38 Tl.upf
O 16.00 O.upf
CELL_PARAMETERS angstrom
1.664 -5.526 0.000
1.664 5.526 0.000
0.000 0.000 10.484
ATOMIC_POSITIONS angstrom
Ca 1.664 4.321 7.863
Ca 1.664 -4.321 2.621
Tl 1.664 1.488 5.998
Tl 1.664 1.488 9.728
Tl 1.664 -1.488 0.756
Tl 1.664 -1.488 4.486
O 0.000 0.000 0.000
O 0.000 0.000 5.242
O 1.664 2.428 1.236
O 1.664 2.428 4.006
O 1.664 0.406 7.863
O 1.664 -0.406 2.621
O 1.664 -2.428 6.478
O 1.664 -2.428 9.248
! formation energy (no corrections): -33.7 kcal/mol of atoms
! E: -189.53 eV/f.u.



Record 12
! CaTm2O4 (meta-GGA SCAN, single point on PBEsol structure); values from VASP
&SYSTEM
  ibrav = 0, nat = 14, ntyp = 3
/
ATOMIC_SPECIES
Ca 40.08 Ca.upf
Tm 168.93 Tm.upf
O 16.00 O.upf
CELL_PARAMETERS angstrom
1.617 -5.378 0.000
1.617 5.378 0.000
0.000 0.000 10.697
ATOMIC_POSITIONS angstrom
Ca 1.617 4.171 8.022
Ca 1.617 -4.171 2.674
Tm 1.617 1.425 6.138
Tm 1.617 1.425 9.907
Tm 1.617 -1.425 0.790
Tm 1.617 -1.425 4.559
O 0.000 0.000 0.000
O 0.000 0.000 5.348
O 1.617 2.514 1.205
O 1.617 2.514 4.144
O 1.617 0.389 8.022
O 1.617 -0.389 2.674
O 1.617 -2.514 6.553
O 1.617 -2.514 9.492
! formation energy (no corrections): -86.5 kcal/mol of atoms
! relative energy among the computed polymorphs: 17 meV per atom
! E: -164.50 eV/f.u.